(1)
LiScSbO2: relaxed, PBE-GGA.

a = 4.022 Å, b = 4.022 Å, c = 6.184 Å
α = 90.00°, β = 90.00°, γ = 90.00°
Positions (direct):
Li: 0.000 0.000 0.000
Sc: 0.500 0.500 0.500
Sb: 0.500 0.500 0.000
O: 0.000 0.500 0.500
O: 0.500 0.000 0.500

- energy relative to the elements, uncorrected (eV per formula unit) = -5.73

***

(2)
SrAcPbO4: relaxed, PBE-GGA.

a = 7.301 Å, b = 7.301 Å, c = 7.301 Å
α = 119.70°, β = 117.27°, γ = 92.66°
Positions (direct):
Sr: 0.368 0.118 0.250
Sr: 0.632 0.882 0.750
Ac: 0.000 0.500 0.500
Ac: 0.500 0.500 0.000
Pb: 0.000 0.000 0.500
Pb: 0.000 0.500 0.000
O: 0.210 0.249 0.961
O: 0.213 0.751 0.461
O: 0.242 0.269 0.528
O: 0.242 0.714 0.972
O: 0.758 0.286 0.028
O: 0.758 0.731 0.472
O: 0.787 0.249 0.539
O: 0.790 0.751 0.039

- energy relative to the elements, uncorrected (eV per formula unit) = -15.72

***

(3)
KCrSb2: relaxed, PBE-GGA.

a = 5.272 Å, b = 5.272 Å, c = 5.272 Å
α = 60.00°, β = 60.00°, γ = 60.00°
Positions (direct):
K: 0.000 0.000 0.000
Cr: 0.500 0.500 0.500
Sb: 0.250 0.250 0.250
Sb: 0.750 0.750 0.750

- relative energy among the computed polymorphs (meV per atom) = 361.4
- energy relative to the elements, uncorrected (eV per formula unit) = 1.14

***

(4)
Sm6Co2CuI3: relaxed, PBE-GGA.

a = 7.077 Å, b = 7.077 Å, c = 8.341 Å
α = 98.12°, β = 98.12°, γ = 120.00°
Positions (direct):
Sm: 0.086 0.439 0.817
Sm: 0.208 0.208 0.182
Sm: 0.439 0.086 0.817
Sm: 0.561 0.914 0.183
Sm: 0.792 0.792 0.818
Sm: 0.914 0.561 0.183
Co: 0.167 0.833 0.000
Co: 0.833 0.167 0.000
Cu: 0.500 0.500 0.000
I: 0.000 0.000 0.500
I: 0.335 0.665 0.500
I: 0.665 0.335 0.500

- energy relative to the elements, uncorrected (eV per formula unit) = -6.95

***

(5)
BaTaIr2: relaxed, PBE-GGA.

a = 3.052 Å, b = 3.967 Å, c = 7.569 Å
α = 90.00°, β = 90.00°, γ = 90.00°
Positions (direct):
Ba: 0.000 0.000 0.000
Ta: 0.500 0.500 0.604
Ir: 0.000 0.000 0.486
Ir: 0.500 0.500 0.279

- relative energy among the computed polymorphs (meV per atom) = 468.7
- energy of formation from the pure elements (eV/atom) = 0.25

***

(6)
RbHIr2: relaxed, PBE-GGA.

a = 4.553 Å, b = 4.553 Å, c = 4.553 Å
α = 60.00°, β = 60.00°, γ = 60.00°
Positions (direct):
Rb: 0.000 0.000 0.000
H: 0.500 0.500 0.500
Ir: 0.250 0.250 0.250
Ir: 0.750 0.750 0.750

- relative energy among the computed polymorphs (meV per atom) = 1684.0

***

(7)
CuSiSe2: relaxed, PBE-GGA.

a = 7.768 Å, b = 7.768 Å, c = 7.768 Å
α = 154.47°, β = 154.11°, γ = 36.68°
Positions (direct):
Cu: 0.000 0.000 0.000
Si: 0.641 0.141 0.500
Se: 0.214 0.714 0.500
Se: 0.486 0.486 0.000

- energy relative to the elements, uncorrected (eV per formula unit) = 0.48

***

(8)
Ce2Dy3ErSb6: relaxed, PBE-GGA.

a = 9.870 Å, b = 9.870 Å, c = 8.835 Å
α = 102.98°, β = 102.98°, γ = 25.87°
Positions (direct):
Ce: 0.165 0.165 0.332
Ce: 0.835 0.835 0.668
Dy: 0.167 0.167 0.834
Dy: 0.500 0.500 0.500
Dy: 0.833 0.833 0.166
Er: 0.500 0.500 0.000
Sb: 0.002 0.002 0.752
Sb: 0.334 0.334 0.413
Sb: 0.334 0.334 0.921
Sb: 0.666 0.666 0.079
Sb: 0.666 0.666 0.587
Sb: 0.998 0.998 0.248

- energy relative to the elements, uncorrected (eV per formula unit) = -13.14

***

(9)
AlRuO4: relaxed, PBE-GGA.

a = 5.392 Å, b = 4.501 Å, c = 5.415 Å
α = 90.00°, β = 113.64°, γ = 90.00°
Positions (direct):
Al: 0.000 0.000 0.000
Al: 0.000 0.500 0.500
Ru: 0.500 0.000 0.500
Ru: 0.500 0.500 0.000
O: 0.147 0.200 0.342
O: 0.147 0.300 0.842
O: 0.342 0.696 0.646
O: 0.342 0.804 0.146
O: 0.658 0.196 0.854
O: 0.658 0.304 0.354
O: 0.853 0.700 0.158
O: 0.853 0.800 0.658

- energy relative to the elements, uncorrected (eV per formula unit) = -10.33

***

(10)
PaGa3Ru: relaxed, PBE-GGA.

a = 6.448 Å, b = 6.448 Å, c = 6.448 Å
α = 90.00°, β = 90.00°, γ = 90.00°
Positions (direct):
Pa: 0.000 0.000 0.500
Pa: 0.000 0.500 0.000
Pa: 0.500 0.000 0.000
Ga: 0.000 0.000 0.000
Ga: 0.290 0.290 0.290
Ga: 0.290 0.290 0.710
Ga: 0.290 0.710 0.290
Ga: 0.290 0.710 0.710
Ga: 0.710 0.290 0.290
Ga: 0.710 0.290 0.710
Ga: 0.710 0.710 0.290
Ga: 0.710 0.710 0.710
Ru: 0.000 0.500 0.500
Ru: 0.500 0.000 0.500
Ru: 0.500 0.500 0.000

- relative energy among the computed polymorphs (meV per atom) = 0.0
- energy of formation from the pure elements (eV/atom) = -0.50

***

(11)
LaPm2Mg: relaxed, PBE-GGA.

a = 5.022 Å, b = 5.022 Å, c = 5.106 Å
α = 90.00°, β = 90.00°, γ = 90.00°
Positions (direct):
La: 0.000 0.000 0.000
Pm: 0.000 0.500 0.500
Pm: 0.500 0.000 0.500
Mg: 0.500 0.500 0.000

- relative energy among the computed polymorphs (meV per atom) = 38.8
- energy of formation from the pure elements (eV/atom) = 0.00

***

(12)
NdThGa2: relaxed, PBE-GGA.

a = 4.159 Å, b = 6.028 Å, c = 8.300 Å
α = 90.00°, β = 90.00°, γ = 90.00°
Positions (direct):
Nd: 0.000 0.133 0.000
Nd: 0.000 0.867 0.500
Th: 0.500 0.366 0.643
Th: 0.500 0.634 0.143
Ga: 0.000 0.380 0.357
Ga: 0.000 0.620 0.857
Ga: 0.500 0.125 0.287
Ga: 0.500 0.875 0.787

- relative energy among the computed polymorphs (meV per atom) = 0.0
- energy of formation from the pure elements (eV/atom) = -0.55

***

(13)
Pm3CoNi2: relaxed, PBE-GGA.

a = 11.411 Å, b = 3.923 Å, c = 11.705 Å
α = 90.00°, β = 90.00°, γ = 90.00°
Positions (direct):
Pm: 0.060 0.250 0.123
Pm: 0.121 0.750 0.555
Pm: 0.209 0.250 0.803
Pm: 0.291 0.750 0.303
Pm: 0.379 0.250 0.055
Pm: 0.440 0.750 0.623
Pm: 0.560 0.250 0.377
Pm: 0.621 0.750 0.945
Pm: 0.709 0.250 0.697
Pm: 0.791 0.750 0.197
Pm: 0.879 0.250 0.445
Pm: 0.940 0.750 0.877
Co: 0.124 0.250 0.369
Co: 0.376 0.750 0.869
Co: 0.624 0.250 0.131
Co: 0.876 0.750 0.631
Ni: 0.026 0.750 0.310
Ni: 0.190 0.750 0.985
Ni: 0.310 0.250 0.485
Ni: 0.474 0.250 0.810
Ni: 0.526 0.750 0.190
Ni: 0.690 0.750 0.515
Ni: 0.810 0.250 0.015
Ni: 0.974 0.250 0.690

- relative energy among the computed polymorphs (meV per atom) = 0.0
- energy of formation from the pure elements (eV/atom) = -0.24

***

(14)
ZrFeNi: relaxed, PBE-GGA.

a = 3.906 Å, b = 3.906 Å, c = 3.437 Å
α = 90.00°, β = 90.00°, γ = 120.00°
Positions (direct):
Zr: 0.000 0.000 0.000
Fe: 0.667 0.333 0.500
Ni: 0.333 0.667 0.500

- energy of formation from the pure elements (eV/atom) = -0.09

***

(15)
Ti2Al5CuNi2: relaxed, PBE-GGA.

a = 8.763 Å, b = 8.763 Å, c = 3.777 Å
α = 90.00°, β = 90.00°, γ = 90.00°
Positions (direct):
Ti: 0.182 0.318 0.000
Ti: 0.318 0.818 0.000
Ti: 0.682 0.182 0.000
Ti: 0.818 0.682 0.000
Al: 0.000 0.500 0.500
Al: 0.061 0.793 0.500
Al: 0.207 0.061 0.500
Al: 0.293 0.561 0.500
Al: 0.439 0.293 0.500
Al: 0.500 0.000 0.500
Al: 0.561 0.707 0.500
Al: 0.707 0.439 0.500
Al: 0.793 0.939 0.500
Al: 0.939 0.207 0.500
Cu: 0.000 0.000 0.000
Cu: 0.500 0.500 0.000
Ni: 0.116 0.616 0.000
Ni: 0.384 0.116 0.000
Ni: 0.616 0.884 0.000
Ni: 0.884 0.384 0.000

- energy of formation from the pure elements (eV/atom) = -0.43

***

(16)
TaRuW2: relaxed, PBE-GGA.

a = 2.769 Å, b = 2.769 Å, c = 8.866 Å
α = 90.00°, β = 90.00°, γ = 108.13°
Positions (direct):
Ta: 0.000 0.000 0.000
Ru: 0.000 0.000 0.500
W: 0.500 0.500 0.260
W: 0.500 0.500 0.740

- relative energy among the computed polymorphs (meV per atom) = 151.5
- energy of formation from the pure elements (eV/atom) = 0.08

***

(17)
Th3Mg4Cd4: relaxed, PBE-GGA.

a = 8.952 Å, b = 8.952 Å, c = 8.952 Å
α = 148.56°, β = 130.80°, γ = 59.56°
Positions (direct):
Th: 0.000 0.000 0.000
Th: 0.384 0.884 0.500
Th: 0.616 0.116 0.500
Mg: 0.021 0.326 0.695
Mg: 0.369 0.674 0.695
Mg: 0.631 0.326 0.305
Mg: 0.979 0.674 0.305
Cd: 0.215 0.215 0.000
Cd: 0.301 0.500 0.801
Cd: 0.699 0.500 0.199
Cd: 0.785 0.785 0.000

- relative energy among the computed polymorphs (meV per atom) = 21.4
- energy of formation from the pure elements (eV/atom) = -0.09

***

(18)
CsNa2GaCu: relaxed, PBE-GGA.

a = 5.915 Å, b = 5.915 Å, c = 4.785 Å
α = 90.00°, β = 90.00°, γ = 90.00°
Positions (direct):
Cs: 0.000 0.000 0.000
Na: 0.000 0.500 0.500
Na: 0.500 0.000 0.500
Ga: 0.500 0.500 0.500
Cu: 0.500 0.500 0.000

- relative energy among the computed polymorphs (meV per atom) = 35.5
- energy of formation from the pure elements (eV/atom) = 0.14

***

(19)
Ac2Pm2PrNd: relaxed, PBE-GGA.

a = 5.996 Å, b = 10.297 Å, c = 7.408 Å
α = 90.00°, β = 90.00°, γ = 90.00°
Positions (direct):
Ac: 0.000 0.000 0.000
Ac: 0.000 0.000 0.500
Ac: 0.500 0.170 0.250
Ac: 0.500 0.830 0.750
Pm: 0.000 0.343 0.250
Pm: 0.000 0.657 0.750
Pm: 0.500 0.175 0.750
Pm: 0.500 0.825 0.250
Pr: 0.500 0.500 0.000
Pr: 0.500 0.500 0.500
Nd: 0.000 0.334 0.750
Nd: 0.000 0.666 0.250

- energy of formation from the pure elements (eV/atom) = 0.07

***

(20)
Ti2SbC: relaxed, PBE-GGA.

a = 5.846 Å, b = 3.103 Å, c = 7.370 Å
α = 90.00°, β = 106.94°, γ = 90.00°
Positions (direct):
Ti: 0.174 0.250 0.357
Ti: 0.207 0.250 0.988
Ti: 0.793 0.750 0.012
Ti: 0.826 0.750 0.643
Sb: 0.341 0.750 0.701
Sb: 0.659 0.250 0.299
C: 0.164 0.750 0.169
C: 0.836 0.250 0.831

- energy relative to the elements, uncorrected (eV per formula unit) = -2.23

***

(21)
HoPtS: relaxed, PBE-GGA.

a = 4.212 Å, b = 4.212 Å, c = 7.485 Å
α = 90.00°, β = 90.00°, γ = 90.00°
Positions (direct):
Ho: 0.250 0.250 0.231
Ho: 0.750 0.750 0.769
Pt: 0.250 0.750 0.500
Pt: 0.750 0.250 0.500
S: 0.250 0.750 0.000
S: 0.750 0.250 0.000

- relative energy among the computed polymorphs (meV per atom) = 247.5
- energy relative to the elements, uncorrected (eV per formula unit) = -3.31

***

Number 1: uncorrected energy -28.0 eV per cell. Number 2: uncorrected energy -90.1 eV per cell. Number 3: uncorrected energy -17.8 eV per cell. Number 4: uncorrected energy -58.2 eV per cell. Number 5: uncorrected energy -30.5 eV per cell. Number 6: uncorrected energy -12.7 eV per cell. Number 7: uncorrected energy -16.0 eV per cell. Number 8: uncorrected energy -68.1 eV per cell. Number 9: uncorrected energy -86.4 eV per cell. Number 10: uncorrected energy -91.1 eV per cell. Number 11: uncorrected energy -16.0 eV per cell. Number 12: uncorrected energy -40.8 eV per cell. Number 13: uncorrected energy -137.3 eV per cell. Number 14: uncorrected energy -23.1 eV per cell. Number 15: uncorrected energy -108.9 eV per cell. Number 16: uncorrected energy -46.7 eV per cell. Number 17: uncorrected energy -33.2 eV per cell. Number 18: uncorrected energy -9.9 eV per cell. Number 19: uncorrected energy -53.7 eV per cell. Number 20: uncorrected energy -62.7 eV per cell. Number 21: uncorrected energy -36.1 eV per cell.